[1]
The following is a DFT calculation (PBE) of an optimized crystal structure of LiN2OF.

a b c (Å): 4.6264 4.6264 3.4580
angles (deg): 90.00 90.00 90.00
Positions (direct):
N (0.0000, 0.5000, 0.0000)
N (0.5000, 0.0000, 0.0000)
Li (0.0000, 0.0000, 0.0000)
O (0.5000, 0.5000, 0.5000)
F (0.0000, 0.0000, 0.5000)

Uncorrected formation energy (eV/atom): 1.62

=====

[2]
The following is a DFT calculation (PBE) of an optimized crystal structure of MgTc2Pt.

a b c (Å): 4.9858 4.9858 4.6507
angles (deg): 81.31 81.31 32.29
Positions (direct):
Mg (0.7500, 0.7500, 0.7500)
Pt (0.2500, 0.2500, 0.2500)
Tc (0.9923, 0.9923, 0.0018)
Tc (0.5077, 0.5077, 0.4982)

Raw total energy (eV/atom): -7.17

=====

[3]
The following is a DFT calculation (PBE) of an optimized crystal structure of ZnMo2Ir3.

a b c (Å): 2.8139 2.8139 11.1953
angles (deg): 90.00 90.00 90.00
Positions (direct):
Zn (0.5000, 0.5000, 0.5000)
Mo (0.5000, 0.5000, 0.8257)
Mo (0.5000, 0.5000, 0.1743)
Ir (0.0000, 0.0000, 0.0000)
Ir (0.0000, 0.0000, 0.6632)
Ir (0.0000, 0.0000, 0.3368)

Raw total energy (eV/atom): -8.55

=====

[4]
The following is a DFT calculation (PBE) of an optimized crystal structure of Ce2Co15Cu2.

a b c (Å): 6.2921 6.2921 6.2921
angles (deg): 83.34 83.34 83.34
Positions (direct):
Ce (0.3457, 0.3457, 0.3457)
Ce (0.6543, 0.6543, 0.6543)
Co (0.5000, 0.0000, 0.0000)
Co (0.0000, 0.0000, 0.5000)
Co (0.0000, 0.5000, 0.0000)
Co (0.0000, 0.7129, 0.2871)
Co (0.7129, 0.2871, 0.0000)
Co (0.2871, 0.0000, 0.7129)
Co (0.2871, 0.7129, 0.0000)
Co (0.7129, 0.0000, 0.2871)
Co (0.0000, 0.2871, 0.7129)
Co (0.1499, 0.6509, 0.6509)
Co (0.6509, 0.6509, 0.1499)
Co (0.6509, 0.1499, 0.6509)
Co (0.8501, 0.3491, 0.3491)
Co (0.3491, 0.3491, 0.8501)
Co (0.3491, 0.8501, 0.3491)
Cu (0.1005, 0.1005, 0.1005)
Cu (0.8995, 0.8995, 0.8995)

Raw total energy (eV/atom): -6.72

=====

[5]
The following is a DFT calculation (PBE) of an optimized crystal structure of CdBH4.

a b c (Å): 8.5494 3.4898 6.9125
angles (deg): 90.00 143.28 90.00
Positions (direct):
Cd (0.2477, 0.2500, 0.2740)
Cd (0.7523, 0.7500, 0.7260)
B (0.2938, 0.2500, 0.7330)
B (0.7062, 0.7500, 0.2670)
H (0.2740, 0.9685, 0.6057)
H (0.7260, 0.4685, 0.3943)
H (0.2740, 0.5315, 0.6057)
H (0.7260, 0.0315, 0.3943)
H (0.8530, 0.7500, 0.2774)
H (0.1470, 0.2500, 0.7226)
H (0.5000, 0.0000, 0.0000)
H (0.5000, 0.5000, 0.0000)

ΔE to the lowest computed polymorph (eV/atom): 0.0000

=====

[6]
The following is a DFT calculation (PBE) of an optimized crystal structure of Rb6CdI8.

a b c (Å): 9.5133 9.5133 9.5133
angles (deg): 69.47 69.47 69.47
Positions (direct):
Rb (0.0586, 0.4801, 0.6984)
Rb (0.3016, 0.9414, 0.5199)
Rb (0.5199, 0.3016, 0.9414)
Rb (0.4801, 0.6984, 0.0586)
Rb (0.6984, 0.0586, 0.4801)
Rb (0.9414, 0.5199, 0.3016)
Cd (0.0000, 0.0000, 0.0000)
I (0.1552, 0.6904, 0.9059)
I (0.0941, 0.8448, 0.3096)
I (0.3096, 0.0941, 0.8448)
I (0.6558, 0.6558, 0.6558)
I (0.3442, 0.3442, 0.3442)
I (0.6904, 0.9059, 0.1552)
I (0.9059, 0.1552, 0.6904)
I (0.8448, 0.3096, 0.0941)

Uncorrected formation energy (eV/atom): -1.28

=====

[7]
The following is a DFT calculation (PBE) of an optimized crystal structure of CaSe2Cl.

a b c (Å): 4.3032 4.3032 11.9191
angles (deg): 79.60 79.60 90.00
Positions (direct):
Ca (0.0000, 0.0000, 0.0000)
Ca (0.7500, 0.2500, 0.5000)
Se (0.7329, 0.1250, 0.2500)
Se (0.0171, 0.6250, 0.2500)
Se (0.3750, 0.2671, 0.7500)
Se (0.8750, 0.9829, 0.7500)
Cl (0.5000, 0.5000, 0.0000)
Cl (0.2500, 0.7500, 0.5000)

Uncorrected formation energy (eV/atom): -1.15
ΔE to the lowest computed polymorph (eV/atom): 0.1377

=====

[8]
The following is a DFT calculation (PBE) of an optimized crystal structure of Cs12Te3Cl5.

a b c (Å): 18.3839 18.3839 18.3839
angles (deg): 109.47 109.47 109.47
Positions (direct):
Te (0.7500, 0.3750, 0.1250)
Te (0.8750, 0.7500, 0.1250)
Te (0.3750, 0.7500, 0.6250)
Te (0.2500, 0.1250, 0.3750)
Te (0.8750, 0.1250, 0.2500)
Te (0.3750, 0.6250, 0.2500)
Te (0.6250, 0.3750, 0.7500)
Te (0.1250, 0.8750, 0.7500)
Te (0.7500, 0.8750, 0.6250)
Te (0.6250, 0.2500, 0.3750)
Te (0.1250, 0.2500, 0.8750)
Te (0.2500, 0.6250, 0.8750)
Cl (0.1250, 0.3750, 0.2500)
Cl (0.0000, 0.5000, 0.0000)
Cl (0.0000, 0.0000, 0.0000)
Cl (0.3750, 0.2500, 0.1250)
Cl (0.5000, 0.0000, 0.5000)
Cl (0.5000, 0.5000, 0.0000)
Cl (0.1250, 0.7500, 0.3750)
Cl (0.7500, 0.1250, 0.8750)
Cl (0.7500, 0.6250, 0.3750)
Cl (0.3750, 0.1250, 0.7500)
Cl (0.6250, 0.8750, 0.2500)
Cl (0.5000, 0.5000, 0.5000)
Cl (0.5000, 0.0000, 0.0000)
Cl (0.0000, 0.0000, 0.5000)
Cl (0.2500, 0.3750, 0.6250)
Cl (0.2500, 0.8750, 0.1250)
Cl (0.0000, 0.5000, 0.5000)
Cl (0.8750, 0.2500, 0.6250)
Cl (0.6250, 0.7500, 0.8750)
Cl (0.8750, 0.6250, 0.7500)
Cs (0.7183, 0.1331, 0.0441)
Cs (0.3258, 0.5441, 0.4110)
Cs (0.9559, 0.3669, 0.2817)
Cs (0.5441, 0.2183, 0.1331)
Cs (0.5852, 0.7183, 0.6742)
Cs (0.9559, 0.5890, 0.1742)
Cs (0.3258, 0.7817, 0.4148)
Cs (0.0890, 0.9148, 0.1331)
Cs (0.5890, 0.9559, 0.6742)
Cs (0.7183, 0.5852, 0.1742)
Cs (0.7817, 0.4559, 0.3669)
Cs (0.8258, 0.9110, 0.0441)
Cs (0.1331, 0.7183, 0.5441)
Cs (0.3669, 0.4110, 0.0852)
Cs (0.0852, 0.9110, 0.3669)
Cs (0.4148, 0.1331, 0.5890)
Cs (0.0852, 0.1742, 0.2183)
Cs (0.4559, 0.6742, 0.0890)
Cs (0.8258, 0.9148, 0.2817)
Cs (0.1331, 0.4148, 0.0890)
Cs (0.3669, 0.9559, 0.7817)
Cs (0.5890, 0.6331, 0.4148)
Cs (0.9110, 0.8258, 0.5441)
Cs (0.7817, 0.3258, 0.9148)
Cs (0.4110, 0.3669, 0.5852)
Cs (0.0890, 0.1742, 0.4559)
Cs (0.2183, 0.6742, 0.0852)
Cs (0.1742, 0.0852, 0.7183)
Cs (0.6331, 0.0441, 0.2183)
Cs (0.8669, 0.5852, 0.9110)
Cs (0.5441, 0.3258, 0.9110)
Cs (0.5852, 0.8669, 0.4110)
Cs (0.9148, 0.8258, 0.7817)
Cs (0.9148, 0.0890, 0.6331)
Cs (0.8669, 0.2817, 0.4559)
Cs (0.1742, 0.0890, 0.9559)
Cs (0.6331, 0.5890, 0.9148)
Cs (0.4110, 0.0441, 0.3258)
Cs (0.2817, 0.4148, 0.8258)
Cs (0.2183, 0.5441, 0.6331)
Cs (0.9110, 0.0852, 0.8669)
Cs (0.6742, 0.2183, 0.5852)
Cs (0.4559, 0.7817, 0.8669)
Cs (0.0441, 0.4110, 0.8258)
Cs (0.4148, 0.2817, 0.3258)
Cs (0.0441, 0.6331, 0.7183)
Cs (0.6742, 0.4559, 0.5890)
Cs (0.2817, 0.8669, 0.9559)

Uncorrected formation energy (eV/atom): -1.38

=====

[9]
The following is a DFT calculation (PBE) of an optimized crystal structure of Gd2TmZn.

a b c (Å): 3.5773 3.5773 8.5987
angles (deg): 90.00 90.00 90.00
Positions (direct):
Gd (0.0000, 0.0000, 0.7896)
Gd (0.0000, 0.0000, 0.2104)
Zn (0.5000, 0.5000, 0.0000)
Tm (0.5000, 0.5000, 0.5000)

ΔE to the lowest computed polymorph (eV/atom): 0.0000

=====

[10]
The following is a DFT calculation (PBE) of an optimized crystal structure of NdDyY.

a b c (Å): 3.5734 8.8493 6.4078
angles (deg): 90.00 90.00 90.00
Positions (direct):
Y (0.5000, 0.1986, 0.2500)
Y (0.5000, 0.8014, 0.7500)
Nd (0.0000, 0.1456, 0.7500)
Nd (0.0000, 0.8544, 0.2500)
Dy (0.0000, 0.5000, 0.5000)
Dy (0.0000, 0.5000, 0.0000)

ΔE to the lowest computed polymorph (eV/atom): 0.1558

=====

[11]
The following is a DFT calculation (PBE) of an optimized crystal structure of Li3MgAs.

a b c (Å): 4.8074 4.8074 4.8074
angles (deg): 90.00 90.00 90.00
Positions (direct):
As (0.5000, 0.5000, 0.5000)
Mg (0.0000, 0.0000, 0.0000)
Li (0.0000, 0.5000, 0.0000)
Li (0.0000, 0.0000, 0.5000)
Li (0.5000, 0.0000, 0.0000)

ΔE to the lowest computed polymorph (eV/atom): 0.6614

=====

[12]
The following is a DFT calculation (PBE) of an optimized crystal structure of K2CdHgGe.

a b c (Å): 6.5944 6.5944 5.0871
angles (deg): 90.00 90.00 90.00
Positions (direct):
K (0.0000, 0.5000, 0.0000)
K (0.5000, 0.0000, 0.0000)
Ge (0.0000, 0.0000, 0.0000)
Hg (0.5000, 0.5000, 0.5000)
Cd (0.0000, 0.0000, 0.5000)

Raw total energy (eV/atom): -1.61

=====

[13]
The following is a DFT calculation (PBE) of an optimized crystal structure of KMnRh2.

a b c (Å): 2.9938 4.8199 4.8199
angles (deg): 90.00 90.00 90.00
Positions (direct):
K (0.5000, 0.5000, 0.0000)
Mn (0.5000, 0.0000, 0.5000)
Rh (0.0000, 0.0000, 0.0000)
Rh (0.0000, 0.5000, 0.5000)

ΔE to the lowest computed polymorph (eV/atom): 0.5309

=====

[14]
The following is a DFT calculation (PBE) of an optimized crystal structure of CsNa2AsBr6.

a b c (Å): 7.6126 7.6126 8.2435
angles (deg): 62.51 62.51 60.00
Positions (direct):
Cs (0.7946, 0.7947, 0.6161)
Na (0.5258, 0.5258, 0.4226)
Na (0.9943, 0.9943, 0.0171)
As (0.3331, 0.3331, 0.0006)
Br (0.5574, 0.2687, 0.2210)
Br (0.2687, 0.9530, 0.2210)
Br (0.9530, 0.5573, 0.2210)
Br (0.3203, 0.7179, 0.7653)
Br (0.7178, 0.1965, 0.7652)
Br (0.1965, 0.3204, 0.7653)

Uncorrected formation energy (eV/atom): -1.12

=====

[15]
The following is a DFT calculation (PBE) of an optimized crystal structure of TaP2Rh.

a b c (Å): 7.5140 7.5140 7.5140
angles (deg): 23.65 23.65 23.65
Positions (direct):
P (0.0056, 0.0056, 0.0056)
P (0.7487, 0.7487, 0.7487)
Rh (0.4889, 0.4889, 0.4889)
Ta (0.2568, 0.2568, 0.2568)

ΔE to the lowest computed polymorph (eV/atom): 0.3144

=====

[16]
The following is a DFT calculation (PBE) of an optimized crystal structure of LaPa2CoN4.

a b c (Å): 3.4944 6.0674 11.4648
angles (deg): 90.00 90.00 106.74
Positions (direct):
La (0.1031, 0.2062, 0.7500)
La (0.8969, 0.7938, 0.2500)
Pa (0.3676, 0.7352, 0.5612)
Pa (0.6324, 0.2648, 0.0612)
Pa (0.6324, 0.2648, 0.4388)
Pa (0.3676, 0.7352, 0.9388)
Co (0.8406, 0.6813, 0.7500)
Co (0.1594, 0.3187, 0.2500)
N (0.2677, 0.5354, 0.1120)
N (0.7323, 0.4646, 0.6120)
N (0.7323, 0.4646, 0.8880)
N (0.2677, 0.5354, 0.3880)
N (0.0000, 0.0000, 0.5000)
N (0.0000, 0.0000, 0.0000)
N (0.4415, 0.8830, 0.7500)
N (0.5585, 0.1170, 0.2500)

Uncorrected formation energy (eV/atom): -1.38

=====

[17]
The following is a DFT calculation (PBE) of an optimized crystal structure of Hf2Sn2P.

a b c (Å): 6.9309 6.9309 4.5506
angles (deg): 90.00 90.00 90.00
Positions (direct):
P (0.0000, 0.0000, 0.0000)
P (0.5000, 0.5000, 0.0000)
Hf (0.3332, 0.8332, 0.0000)
Hf (0.8332, 0.6668, 0.0000)
Hf (0.6668, 0.1668, 0.0000)
Hf (0.1668, 0.3332, 0.0000)
Sn (0.1481, 0.6481, 0.5000)
Sn (0.6481, 0.8519, 0.5000)
Sn (0.8519, 0.3519, 0.5000)
Sn (0.3519, 0.1481, 0.5000)

Raw total energy (eV/atom): -7.08

=====

[18]
The following is a DFT calculation (PBE) of an optimized crystal structure of Ca2Nb2Tl.

a b c (Å): 8.8278 8.8278 3.5340
angles (deg): 90.00 90.00 90.00
Positions (direct):
Tl (0.0000, 0.0000, 0.0000)
Tl (0.5000, 0.5000, 0.0000)
Ca (0.2011, 0.7011, 0.5000)
Ca (0.7011, 0.7989, 0.5000)
Ca (0.7989, 0.2989, 0.5000)
Ca (0.2989, 0.2011, 0.5000)
Nb (0.4099, 0.9099, 0.0000)
Nb (0.9099, 0.5901, 0.0000)
Nb (0.5901, 0.0901, 0.0000)
Nb (0.0901, 0.4099, 0.0000)

ΔE to the lowest computed polymorph (eV/atom): 0.0000

=====

[19]
The following is a DFT calculation (PBE) of an optimized crystal structure of LaNi.

a b c (Å): 4.1107 4.1107 4.1107
angles (deg): 59.92 59.92 59.92
Positions (direct):
La (0.0000, 0.0000, 0.0000)
Ni (0.5000, 0.5000, 0.5000)

Raw total energy (eV/atom): -5.58

=====

[20]
The following is a DFT calculation (PBE) of an optimized crystal structure of ErScCdOs.

a b c (Å): 4.8580 4.8580 4.8580
angles (deg): 60.00 60.00 60.00
Positions (direct):
Sc (0.0000, 0.0000, 0.0000)
Cd (0.7500, 0.7500, 0.7500)
Os (0.2500, 0.2500, 0.2500)
Er (0.5000, 0.5000, 0.5000)

ΔE to the lowest computed polymorph (eV/atom): 0.1222